DFT (PBE-GGA) results for a geometry-optimized Mo2IrOsPd structure.

## Properties
Its formation energy is 2.3384 eV/atom. The total energy comes out at -7.051 eV per atom. As for the density of states at the Fermi level: 7.52 states/eV/cell.

Cell lengths 4.6043, 4.6043, 4.6406 Å; angles 90.00, 90.00, 90.00 degrees
Space group P4/mmm (No. 123)
Symmetry-distinct sites (fractional):
Mo 0.0000 0.5000 0.0000 x2
Ir 0.0000 0.0000 0.5000 x1
Os 0.5000 0.5000 0.5000 x1
Pd 0.5000 0.5000 0.0000 x1

DFT (PBE-GGA) results for a geometry-optimized PmCd3Ni8 structure.

## Properties
Its formation energy is -0.1179 eV/atom. The total energy comes out at -4.597 eV per atom. As for the density of states at the Fermi level: 51.20 states/eV/cell.

Cell lengths 4.9625, 4.9625, 24.4055 Å; angles 90.00, 90.00, 120.00 degrees
Space group R3m (No. 160, hexagonal axes)
Symmetry-distinct sites (fractional):
Pm 0.0000 0.0000 0.0000 x3
Cd 0.0000 0.0000 0.1277 x3
Cd 0.0000 0.0000 0.4972 x3
Cd 0.0000 0.0000 0.6174 x3
Ni 0.0000 0.0000 0.3113 x3
Ni 0.0000 0.0000 0.8116 x3
Ni 0.0007 0.5003 0.0631 x9
Ni 0.1680 0.3359 0.8937 x9

DFT (PBE-GGA) results for a geometry-optimized Zr2AlCl structure.

## Properties
As for the energy relative to the elements, uncorrected: -223 kJ/mol of formula units. The total energy comes out at -6.250 eV per atom. As for the density of states at the Fermi level: 2.29 states/eV/cell. The value obtained for the energy above the most stable polymorph in this dataset is 0 meV per atom.

Cell lengths 3.1379, 3.1460, 8.2453 Å; angles 90.00, 90.00, 90.00 degrees
Space group Pmmm (No. 47)
Symmetry-distinct sites (fractional):
Zr 0.0000 0.0000 0.2321 x2
Al 0.5000 0.5000 0.0000 x1
Cl 0.5000 0.0000 0.5000 x1

| no. | M_tot (μB per formula unit) |
| --- | --- |
| 1 | 0.00 |
| 2 | 0.98 |
| 3 | 0.00 |